(1)
A geometry-optimized PrNd3Sm4S8 structure, computed with GGA-PBE. Values from VASP.

```
&SYSTEM
  ibrav = 0, nat = 16, ntyp = 4
/
ATOMIC_SPECIES
Nd 144.24 Nd.upf
S 32.06 S.upf
Sm 150.36 Sm.upf
Pr 140.91 Pr.upf
CELL_PARAMETERS angstrom
-4.541 3.692 -5.573
-6.666 -3.190 3.318
5.104 4.305 4.552
ATOMIC_POSITIONS angstrom
Nd -5.603 0.251 -1.128
S -6.176 -1.463 1.120
Sm -2.271 1.846 -2.787
Nd -0.781 0.558 3.935
S 2.334 4.433 3.951
S -3.612 0.699 3.406
Sm 2.552 2.153 2.276
Nd -3.051 2.404 1.148
Sm 0.000 0.000 0.000
S -0.221 2.273 1.685
S -5.882 2.535 0.612
Pr -3.333 -1.595 1.659
S 0.073 6.270 1.177
Sm 0.282 3.998 -0.511
S -8.436 0.375 -1.654
S -2.490 4.108 -1.109
```

Values from the calculation:
Uncorrected energy = -103.305 eV for the cell shown
D(E_F) = 0.5676 states/eV/atom
M_tot = 0.0 μB/f.u.
Crystal system = trigonal

(2)
A geometry-optimized Pr3Nd2SmS6 structure, computed with GGA-PBE. Values from VASP.

```
&SYSTEM
  ibrav = 0, nat = 12, ntyp = 4
/
ATOMIC_SPECIES
S 32.06 S.upf
Sm 150.36 Sm.upf
Pr 140.91 Pr.upf
Nd 144.24 Nd.upf
CELL_PARAMETERS angstrom
-5.006 4.830 1.244
-1.541 -6.886 0.377
3.790 0.682 5.921
ATOMIC_POSITIONS angstrom
S -0.115 -2.274 1.704
Sm 0.000 0.000 0.000
S 1.234 0.005 4.867
S -1.259 1.594 1.990
S -1.498 -2.968 5.552
Pr -1.378 -0.687 3.771
S -3.991 -1.378 2.675
Nd -2.696 -2.981 0.666
Pr -0.228 -4.575 3.483
Pr -2.528 3.201 4.059
Nd -3.851 0.925 0.955
S -2.642 0.900 5.838
```

Values from the calculation:
Uncorrected energy = -77.681 eV for the cell shown
D(E_F) = 0.4398 states/eV/atom
M_tot = 0.0 μB/f.u.
Crystal system = monoclinic

(3)
A geometry-optimized Pr4NdSm3S8 structure, computed with GGA-PBE. Values from VASP.

```
&SYSTEM
  ibrav = 0, nat = 16, ntyp = 4
/
ATOMIC_SPECIES
S 32.06 S.upf
Nd 144.24 Nd.upf
Pr 140.91 Pr.upf
Sm 150.36 Sm.upf
CELL_PARAMETERS angstrom
8.121 0.000 0.000
0.000 8.145 0.011
-4.060 -4.056 5.745
ATOMIC_POSITIONS angstrom
S -2.014 2.017 5.717
Nd 0.000 4.072 0.006
S 6.074 2.072 0.040
Pr 4.060 0.000 0.000
S 4.060 4.029 2.845
S 4.060 0.060 2.889
Pr 0.000 0.000 0.000
S 0.000 4.028 2.868
Sm 2.030 2.044 2.878
S 2.014 2.017 5.717
Pr -2.030 -2.028 2.873
Sm -2.030 2.044 2.878
Sm 4.060 4.072 0.006
Pr 2.030 -2.028 2.873
S 2.047 2.072 0.040
S 0.000 0.060 2.912
```

Values from the calculation:
Uncorrected energy = -103.365 eV for the cell shown
D(E_F) = 0.5544 states/eV/atom
M_tot = 0.0 μB/f.u.
Crystal system = trigonal

(4)
A geometry-optimized PrNd3Sm2S6 structure, computed with GGA-PBE. Values from VASP.

```
&SYSTEM
  ibrav = 0, nat = 12, ntyp = 4
/
ATOMIC_SPECIES
S 32.06 S.upf
Nd 144.24 Nd.upf
Pr 140.91 Pr.upf
Sm 150.36 Sm.upf
CELL_PARAMETERS angstrom
7.031 -0.010 -0.001
-3.523 6.085 -0.001
-1.171 -2.028 6.619
ATOMIC_POSITIONS angstrom
S 3.529 1.989 4.976
Nd 1.169 2.023 3.308
Pr 0.000 0.000 0.000
Sm 3.511 2.022 -0.001
S -1.192 2.058 1.640
Sm -0.003 4.052 -0.001
Nd 4.709 -0.021 3.308
S 2.378 -0.004 1.640
S 0.016 0.028 4.989
Nd -2.372 4.068 3.308
S -0.041 4.051 4.976
S 2.321 4.018 1.627
```

Values from the calculation:
Uncorrected energy = -77.615 eV for the cell shown
D(E_F) = 0.4301 states/eV/atom
M_tot = 0.0 μB/f.u.
Crystal system = monoclinic

Across the entries above, formation energy from raw total energies takes the values -2.020 -2.027 -2.019 -2.027 eV per atom, respectively.